A relaxed structure of TbFe3Ge3. Source: Alexandria, functional PBE.

## Properties
**Space group**: R-3m
**Calculated volume**: 25.59 A^3/atom
**Energy relative to the elements**: 824 meV/atom
**Fermi-level density of states**: 5.189 states/eV/f.u.
**Electronic total energy**: -76.20 eV for the cell shown

Cell and atoms, written as CIF:
```
data_TbFe3Ge3
_symmetry_space_group_name_H-M 'P 1'
_symmetry_Int_Tables_number 1
_cell_length_a 7.971
_cell_length_b 7.974
_cell_length_c 7.975
_cell_angle_alpha 59.99
_cell_angle_beta 59.97
_cell_angle_gamma 59.97
loop_
_symmetry_equiv_pos_as_xyz
'x,y,z'
loop_
_atom_site_label
_atom_site_type_symbol
_atom_site_fract_x
_atom_site_fract_y
_atom_site_fract_z
Tb1 Tb 0.250 0.250 0.250
Tb2 Tb 0.750 0.750 0.750
Fe1 Fe 0.142 0.858 0.858
Fe2 Fe 0.142 0.858 0.142
Fe3 Fe 0.142 0.142 0.858
Fe4 Fe 0.858 0.142 0.858
Fe5 Fe 0.858 0.142 0.142
Fe6 Fe 0.858 0.858 0.142
Ge1 Ge 0.338 0.662 0.338
Ge2 Ge 0.338 0.662 0.662
Ge3 Ge 0.338 0.338 0.662
Ge4 Ge 0.662 0.338 0.662
Ge5 Ge 0.662 0.338 0.338
Ge6 Ge 0.662 0.662 0.338
```

A relaxed structure of TbFeTcGe2. Source: Alexandria, functional PBE.

## Properties
**Space group**: I-4m2
**Calculated volume**: 17.53 A^3/atom
**Energy relative to the elements**: -446 meV/atom
**Fermi-level density of states**: 4.549 states/eV/f.u.
**Electronic total energy**: -34.92 eV for the cell shown

Cell and atoms, written as CIF:
```
data_TbFeTcGe2
_symmetry_space_group_name_H-M 'P 1'
_symmetry_Int_Tables_number 1
_cell_length_a 4.035
_cell_length_b 4.035
_cell_length_c 6.092
_cell_angle_alpha 109.34
_cell_angle_beta 109.34
_cell_angle_gamma 90.00
loop_
_symmetry_equiv_pos_as_xyz
'x,y,z'
loop_
_atom_site_label
_atom_site_type_symbol
_atom_site_fract_x
_atom_site_fract_y
_atom_site_fract_z
Tb1 Tb 0.000 0.000 0.000
Fe1 Fe 0.750 0.250 0.500
Tc1 Tc 0.250 0.750 0.500
Ge1 Ge 0.619 0.619 0.239
Ge2 Ge 0.381 0.381 0.761
```

A relaxed structure of TbZnFeGe2. Source: Alexandria, functional PBE.

## Properties
**Space group**: Pmma
**Calculated volume**: 17.47 A^3/atom
**Energy relative to the elements**: -369 meV/atom
**Fermi-level density of states**: 2.992 states/eV/f.u.
**Electronic total energy**: -50.90 eV for the cell shown

Cell and atoms, written as CIF:
```
data_TbZnFeGe2
_symmetry_space_group_name_H-M 'P 1'
_symmetry_Int_Tables_number 1
_cell_length_a 5.739
_cell_length_b 5.449
_cell_length_c 5.587
_cell_angle_alpha 90.00
_cell_angle_beta 90.00
_cell_angle_gamma 90.00
loop_
_symmetry_equiv_pos_as_xyz
'x,y,z'
loop_
_atom_site_label
_atom_site_type_symbol
_atom_site_fract_x
_atom_site_fract_y
_atom_site_fract_z
Tb1 Tb 0.227 0.250 0.500
Tb2 Tb 0.773 0.750 0.500
Zn1 Zn 0.626 0.750 0.000
Zn2 Zn 0.374 0.250 0.000
Fe1 Fe 0.000 0.000 0.000
Fe2 Fe 0.000 0.500 0.000
Ge1 Ge 0.747 0.250 0.739
Ge2 Ge 0.747 0.250 0.261
Ge3 Ge 0.253 0.750 0.739
Ge4 Ge 0.253 0.750 0.261
```

A relaxed structure of FeTc2Ge. Source: Alexandria, functional PBE.

## Properties
**Space group**: R-3m
**Calculated volume**: 15.03 A^3/atom
**Energy relative to the elements**: 568 meV/atom
**Fermi-level density of states**: 4.755 states/eV/f.u.
**Electronic total energy**: -31.54 eV for the cell shown

Cell and atoms, written as CIF:
```
data_FeTc2Ge
_symmetry_space_group_name_H-M 'P 1'
_symmetry_Int_Tables_number 1
_cell_length_a 2.779
_cell_length_b 2.779
_cell_length_c 9.132
_cell_angle_alpha 81.25
_cell_angle_beta 81.25
_cell_angle_gamma 60.00
loop_
_symmetry_equiv_pos_as_xyz
'x,y,z'
loop_
_atom_site_label
_atom_site_type_symbol
_atom_site_fract_x
_atom_site_fract_y
_atom_site_fract_z
Ge1 Ge 0.500 0.500 0.500
Tc1 Tc 0.910 0.910 0.271
Tc2 Tc 0.090 0.090 0.729
Fe1 Fe 0.000 0.000 0.000
```

> Among the records above, which one has the lowest energy relative to the elements?

TbFeTcGe2